Entry 1:
18
Lattice="5.045 0.000 0.000 -2.523 4.369 0.000 0.000 0.000 9.001" Properties=species:S:1:pos:R:3 comment="PBE with a Hubbard U NiSbAsO6, optimized geometry" e_tot_ev_per_atom=-5.796 magnetic_moment_mub_per_atom=0.23 n_ef_per_ev_atom=0.000 pbc="T T T"
As 0.000 2.913 6.751
O 0.820 1.600 7.802
O -1.547 2.860 7.802
O 1.703 2.770 1.199
O 3.342 2.770 3.302
Sb 0.000 2.913 2.250
O 4.070 1.510 1.199
As 2.523 1.456 2.250
Ni 0.000 0.000 4.501
O 1.547 2.860 5.699
Sb 2.523 1.456 6.751
O 0.976 1.510 3.302
O 1.795 0.090 1.199
Ni 0.000 0.000 0.000
O -0.820 1.600 5.699
O 3.250 0.090 3.302
O 0.727 4.279 7.802
O -0.727 4.279 5.699

=====

Entry 2:
10
Lattice="5.106 -0.003 0.005 2.556 4.420 0.006 2.550 1.469 4.612" Properties=species:S:1:pos:R:3 comment="PBE with a Hubbard U ScNi2AsO6, optimized geometry" e_tot_ev_per_atom=-6.339 magnetic_moment_mub_per_atom=0.40 n_ef_per_ev_atom=0.000 pbc="T T T"
Sc 7.660 4.415 2.615
O 4.193 4.587 1.114
Ni 2.550 1.469 4.388
O 5.864 4.194 3.558
O 4.141 1.331 1.112
Ni 5.106 2.943 1.991
O 6.987 2.913 1.116
As 2.554 1.472 0.179
O 3.641 2.974 3.555
O 5.809 1.659 3.556

=====

Entry 3:
5
Lattice="-1.912 -4.043 -0.457 2.475 -1.556 3.414 -3.070 1.142 2.746" Properties=species:S:1:pos:R:3 comment="PBE with a Hubbard U NiAsSe2O, optimized geometry" e_tot_ev_per_atom=-2.996 e_above_lowest_polymorph_ev_per_atom=0.000 magnetic_moment_mub_per_atom=0.32 n_ef_per_ev_atom=1.031 pbc="T T T"
Ni -1.253 -2.229 2.852
Se -0.956 -2.021 -0.228
O 0.000 0.000 0.000
Se 1.238 -0.778 1.707
As -1.535 0.571 1.373